GeTeMoN2 | PBE-GGA | relaxed

Unit cell a=3.9925 b=3.9925 c=5.6354 alpha=90.00 beta=90.00 gamma=90.00
Fractional coordinates of all 5 atoms:
Ge 0.0000 0.0000 0.0000
Te 0.5000 0.5000 0.0000
Mo 0.5000 0.5000 0.5000
N 0.0000 0.5000 0.5000
N 0.5000 0.0000 0.5000

Results
crystal system = tetragonal
uncorrected formation energy = 13.59 kcal/mol of atoms
symmetry = P4/mmm

---

TiGeMo2N | PBE-GGA | relaxed

Unit cell a=4.8237 b=4.8237 c=3.6392 alpha=90.00 beta=90.00 gamma=90.00
Fractional coordinates of all 5 atoms:
Ti 0.0000 0.0000 0.0000
Ge 0.5000 0.5000 0.5000
Mo 0.0000 0.5000 0.5000
Mo 0.5000 0.0000 0.5000
N 0.5000 0.5000 0.0000

Results
crystal system = tetragonal
uncorrected formation energy = 33.45 kcal/mol of atoms
symmetry = P4/mmm

---

VGeMoN2 | PBE-GGA | relaxed

Unit cell a=3.7080 b=3.7080 c=5.3563 alpha=90.00 beta=90.00 gamma=90.00
Fractional coordinates of all 5 atoms:
V 0.0000 0.0000 0.0000
Ge 0.0000 0.0000 0.5000
Mo 0.5000 0.5000 0.5000
N 0.0000 0.5000 0.0000
N 0.5000 0.0000 0.0000

Results
crystal system = tetragonal
uncorrected formation energy = 19.28 kcal/mol of atoms
symmetry = P4/mmm

---

Zn2GeMoN4 | PBE-GGA | relaxed

Unit cell a=5.6461 b=5.6461 c=5.6461 alpha=131.26 beta=131.26 gamma=71.40
Fractional coordinates of all 8 atoms:
Zn 0.2500 0.7500 0.5000
Zn 0.7500 0.2500 0.5000
Ge 0.0000 0.0000 0.0000
Mo 0.5000 0.5000 0.0000
N 0.1296 0.1296 0.4892
N 0.3596 0.8704 0.0000
N 0.6404 0.6404 0.5108
N 0.8704 0.3596 0.0000

Results
crystal system = tetragonal
uncorrected formation energy = -0.22 kcal/mol of atoms
symmetry = I-42m

---

NaGe2Mo2 | PBE-GGA | relaxed

Unit cell a=6.5799 b=6.5799 c=6.5799 alpha=145.35 beta=145.35 gamma=49.82
Fractional coordinates of all 5 atoms:
Na 0.0000 0.0000 0.0000
Ge 0.3951 0.3951 0.0000
Ge 0.6049 0.6049 0.0000
Mo 0.2500 0.7500 0.5000
Mo 0.7500 0.2500 0.5000

Results
crystal system = tetragonal
symmetry = I4/mmm

---

NaGeMo3 | PBE-GGA | relaxed

Unit cell a=4.5433 b=4.5433 c=4.5433 alpha=90.00 beta=90.00 gamma=90.00
Fractional coordinates of all 5 atoms:
Na 0.0000 0.0000 0.0000
Ge 0.5000 0.5000 0.5000
Mo 0.0000 0.0000 0.5000
Mo 0.0000 0.5000 0.0000
Mo 0.5000 0.0000 0.0000

Results
crystal system = cubic
symmetry = Pm-3m

---

NaGe2Mo2 | PBE-GGA | relaxed

Unit cell a=7.8883 b=7.8883 c=2.8729 alpha=90.00 beta=90.00 gamma=90.00
Fractional coordinates of all 10 atoms:
Na 0.0000 0.0000 0.0000
Na 0.5000 0.5000 0.0000
Ge 0.1800 0.3200 0.5000
Ge 0.3200 0.8200 0.5000
Ge 0.6800 0.1800 0.5000
Ge 0.8200 0.6800 0.5000
Mo 0.1077 0.6077 0.0000
Mo 0.3923 0.1077 0.0000
Mo 0.6077 0.8923 0.0000
Mo 0.8923 0.3923 0.0000

Results
crystal system = tetragonal
symmetry = P4/mbm

---

NaGeMo2 | PBE-GGA | relaxed

Unit cell a=9.8861 b=9.8861 c=9.8861 alpha=153.04 beta=153.04 gamma=38.50
Fractional coordinates of all 8 atoms:
Na 0.0000 0.0000 0.0000
Na 0.7500 0.2500 0.5000
Ge 0.2500 0.7500 0.5000
Ge 0.5000 0.5000 0.0000
Mo 0.3412 0.6250 0.2162
Mo 0.3750 0.5912 0.7162
Mo 0.4088 0.1250 0.7838
Mo 0.8750 0.6588 0.2838

Results
crystal system = tetragonal
symmetry = I-42d

---

In order of appearance, spin magnetization = 0.11 0.71 1.66 1.20 0.00 2.98 0.00 0.00 Bohr magnetons per cell.
In order of appearance, electronic total energy = -0.23736 -0.25907 -0.27222 -0.23599 -0.23516 -0.18893 -0.23089 -0.21368 Ha/atom.